Record 1
A plane-wave DFT calculation with PBE was carried out for a relaxed structure of BaTaCd.

* Fermi-level density of states: 5.9 states/eV/cell
* DFT total energy: -10.9 eV/cell
* E_form: 369 kJ/mol of formula units
* space group: F-43m, No. 216

```
BaTaCd
1.0
0.0000 3.7281 3.7281
3.7281 0.0000 3.7281
3.7281 3.7281 0.0000
Ba Ta Cd
1 1 1
Direct
0.0000 0.0000 0.0000 Ba
0.5000 0.5000 0.5000 Ta
0.2500 0.2500 0.2500 Cd
```


Record 2
A plane-wave DFT calculation with PBE was carried out for a relaxed structure of ZrHgBr.

* energy relative to the elements, uncorrected: 113 meV/atom
* Fermi-level density of states: 3.5 states/eV/cell
* DFT total energy: -10.2 eV/cell
* space group: F-43m, No. 216

```
ZrHgBr
1.0
0.0000 3.3976 3.3976
3.3976 0.0000 3.3976
3.3976 3.3976 0.0000
Zr Hg Br
1 1 1
Direct
0.0000 0.0000 0.0000 Zr
0.7500 0.7500 0.7500 Hg
0.2500 0.2500 0.2500 Br
```


Please write out number 2 again, unchanged.
A plane-wave DFT calculation with PBE was carried out for a relaxed structure of ZrHgBr.

* energy relative to the elements, uncorrected: 113 meV/atom
* Fermi-level density of states: 3.5 states/eV/cell
* DFT total energy: -10.2 eV/cell
* space group: F-43m, No. 216

```
ZrHgBr
1.0
0.0000 3.3976 3.3976
3.3976 0.0000 3.3976
3.3976 3.3976 0.0000
Zr Hg Br
1 1 1
Direct
0.0000 0.0000 0.0000 Zr
0.7500 0.7500 0.7500 Hg
0.2500 0.2500 0.2500 Br
```